(1)
Here is an optimized crystal structure of Pr5DyEr from the Alexandria database. Energies are from PBE-GGA.

- ΔH_f (0 K) (eV per atom) = 0.9597
- calculated volume (Å³ per cell) = 649.8
- D(E_F) (states/eV/f.u.) = 13.0

CIF file:
```
data_Pr5DyEr
_chemical_formula_sum 'Pr10 Dy2 Er2'
_cell_length_a 5.956
_cell_length_b 8.914
_cell_length_c 12.239
_cell_angle_alpha 90.00
_cell_angle_beta 90.00
_cell_angle_gamma 90.00
_space_group_name_H-M_alt 'I m m m'
_space_group_IT_number 71
_space_group_name_Hall '-I 2 2'
loop_
_atom_site_label
_atom_site_type_symbol
_atom_site_fract_x
_atom_site_fract_y
_atom_site_fract_z
Pr1 Pr 0.000 0.000 0.000
Pr2 Pr 0.000 0.177 0.500
Pr3 Pr 0.000 0.500 0.252
Dy1 Dy 0.000 0.500 0.000
Er1 Er 0.000 0.500 0.500
```



(2)
Here is an optimized crystal structure of Pr2Dy4Er from the Alexandria database. Energies are from PBE-GGA.

- ΔH_f (0 K) (eV per atom) = 0.1059
- calculated volume (Å³ per cell) = 932.8
- D(E_F) (states/eV/f.u.) = 9.2
- relative energy among the computed polymorphs (meV per atom) = 0

CIF file:
```
data_Pr2Dy4Er
_chemical_formula_sum 'Pr8 Dy16 Er4'
_cell_length_a 15.052
_cell_length_b 3.630
_cell_length_c 17.437
_cell_angle_alpha 90.00
_cell_angle_beta 101.75
_cell_angle_gamma 90.00
_space_group_name_H-M_alt 'C 1 2/m 1'
_space_group_IT_number 12
_space_group_name_Hall '-C 2y'
loop_
_atom_site_label
_atom_site_type_symbol
_atom_site_fract_x
_atom_site_fract_y
_atom_site_fract_z
Pr1 Pr 0.104 0.000 0.356
Pr2 Pr 0.172 0.500 0.169
Dy1 Dy 0.021 0.000 0.819
Dy2 Dy 0.132 0.500 0.708
Dy3 Dy 0.177 0.500 0.932
Dy4 Dy 0.195 0.000 0.558
Er1 Er 0.000 0.000 0.000
Er2 Er 0.000 0.500 0.500
```



(3)
Here is an optimized crystal structure of Pr2Dy5Er3 from the Alexandria database. Energies are from PBE-GGA.

- ΔH_f (0 K) (eV per atom) = 0.4121
- calculated volume (Å³ per cell) = 1382.0
- D(E_F) (states/eV/f.u.) = 15.4
- relative energy among the computed polymorphs (meV per atom) = 217

CIF file:
```
data_Pr2Dy5Er3
_chemical_formula_sum 'Pr8 Dy20 Er12'
_cell_length_a 9.389
_cell_length_b 21.701
_cell_length_c 6.783
_cell_angle_alpha 90.00
_cell_angle_beta 90.00
_cell_angle_gamma 90.00
_space_group_name_H-M_alt 'I b a m'
_space_group_IT_number 72
_space_group_name_Hall '-I 2 2c'
loop_
_atom_site_label
_atom_site_type_symbol
_atom_site_fract_x
_atom_site_fract_y
_atom_site_fract_z
Pr1 Pr 0.104 0.125 0.000
Dy1 Dy 0.000 0.252 0.250
Dy2 Dy 0.000 0.500 0.250
Dy3 Dy 0.088 0.376 0.500
Er1 Er 0.000 0.000 0.250
Er2 Er 0.250 0.124 0.500
```